A plane-wave DFT calculation with PBE was carried out for a geometry-optimized RbHgPbCl5 structure.

Geometry as CIF:
```
data_RbHgPbCl5
_chemical_formula_sum 'Rb4 Hg4 Pb4 Cl20'
_cell_length_a 9.3969
_cell_length_b 12.7954
_cell_length_c 10.3895
_cell_angle_alpha 90.00
_cell_angle_beta 112.87
_cell_angle_gamma 90.00
_space_group_name_H-M_alt 'C 1 2/c 1'
_space_group_IT_number 15
loop_
_space_group_symop_operation_xyz
'x,y,z'
'-x,-y,-z'
'-x,y,-z+1/2'
'x,-y,z+1/2'
'x+1/2,y+1/2,z'
'-x+1/2,-y+1/2,-z'
'-x+1/2,y+1/2,-z+1/2'
'x+1/2,-y+1/2,z+1/2'
loop_
_atom_site_label
_atom_site_fract_x
_atom_site_fract_y
_atom_site_fract_z
_atom_site_occupancy
Rb1 0.0000 0.1575 0.2500 1
Hg1 0.0000 0.1827 0.7500 1
Pb1 0.0000 0.5000 0.0000 1
Cl1 0.0000 0.4120 0.2500 1
Cl2 0.1177 0.2903 0.6113 1
Cl3 0.1762 0.0585 0.9387 1
```


A plane-wave DFT calculation with PBE was carried out for a geometry-optimized RbHg2PbCl8 structure.

Geometry as CIF:
```
data_RbHg2PbCl8
_chemical_formula_sum 'Rb1 Hg2 Pb1 Cl8'
_cell_length_a 6.8116
_cell_length_b 6.9340
_cell_length_c 9.2610
_cell_angle_alpha 72.06
_cell_angle_beta 80.22
_cell_angle_gamma 85.00
_space_group_name_H-M_alt 'P -1'
_space_group_IT_number 2
loop_
_space_group_symop_operation_xyz
'x,y,z'
'-x,-y,-z'
loop_
_atom_site_label
_atom_site_fract_x
_atom_site_fract_y
_atom_site_fract_z
_atom_site_occupancy
Rb1 0.0000 0.0000 0.0000 1
Hg1 0.4791 0.4748 0.2352 1
Pb1 0.0000 0.0000 0.5000 1
Cl1 0.1363 0.7292 0.7500 1
Cl2 0.1995 0.7952 0.3142 1
Cl3 0.3386 0.2419 0.4716 1
Cl4 0.4068 0.2672 0.9939 1
```


A plane-wave DFT calculation with PBE was carried out for a geometry-optimized Rb2HgPbCl6 structure.

Geometry as CIF:
```
data_Rb2HgPbCl6
_chemical_formula_sum 'Rb2 Hg1 Pb1 Cl6'
_cell_length_a 7.6367
_cell_length_b 7.6395
_cell_length_c 7.6456
_cell_angle_alpha 61.58
_cell_angle_beta 61.57
_cell_angle_gamma 61.60
_space_group_name_H-M_alt 'P 1'
_space_group_IT_number 1
loop_
_space_group_symop_operation_xyz
'x,y,z'
loop_
_atom_site_label
_atom_site_fract_x
_atom_site_fract_y
_atom_site_fract_z
_atom_site_occupancy
Rb1 0.0000 0.0000 0.0000 1
Rb2 0.4815 0.4792 0.4797 1
Hg1 0.2401 0.2392 0.2392 1
Pb1 0.7401 0.7391 0.7392 1
Cl1 0.0018 0.4062 0.5568 1
Cl2 0.0737 0.9209 0.4740 1
Cl3 0.4067 0.5572 0.0033 1
Cl4 0.4777 0.0718 0.9217 1
Cl5 0.5570 0.0036 0.4071 1
Cl6 0.9231 0.4747 0.0712 1
```


A plane-wave DFT calculation with PBE was carried out for a geometry-optimized HgRhPb2Cl structure.

Geometry as CIF:
```
data_HgRhPb2Cl
_chemical_formula_sum 'Hg1 Rh1 Pb2 Cl1'
_cell_length_a 5.2408
_cell_length_b 5.2408
_cell_length_c 5.3008
_cell_angle_alpha 90.00
_cell_angle_beta 90.00
_cell_angle_gamma 90.00
_space_group_name_H-M_alt 'P 4/m m m'
_space_group_IT_number 123
_space_group_name_Hall '-P 4 2'
loop_
_atom_site_label
_atom_site_fract_x
_atom_site_fract_y
_atom_site_fract_z
_atom_site_occupancy
Hg1 0.0000 0.0000 0.0000 1
Rh1 0.0000 0.0000 0.5000 1
Pb1 0.0000 0.5000 0.5000 1
Cl1 0.5000 0.5000 0.0000 1
```


A plane-wave DFT calculation with PBE was carried out for a geometry-optimized HgPb2S2Cl2 structure.

Geometry as CIF:
```
data_HgPb2S2Cl2
_chemical_formula_sum 'Hg2 Pb4 S4 Cl4'
_cell_length_a 14.3116
_cell_length_b 4.2750
_cell_length_c 8.9517
_cell_angle_alpha 90.00
_cell_angle_beta 126.45
_cell_angle_gamma 90.00
_space_group_name_H-M_alt 'C 1 2/m 1'
_space_group_IT_number 12
loop_
_space_group_symop_operation_xyz
'x,y,z'
'-x,-y,-z'
'-x,y,-z'
'x,-y,z'
'x+1/2,y+1/2,z'
'-x+1/2,-y+1/2,-z'
'-x+1/2,y+1/2,-z'
'x+1/2,-y+1/2,z'
loop_
_atom_site_label
_atom_site_fract_x
_atom_site_fract_y
_atom_site_fract_z
_atom_site_occupancy
Hg1 0.0000 0.0000 0.0000 1
Pb1 0.1400 0.0000 0.7307 1
S1 0.1902 0.0000 0.0820 1
Cl1 0.0293 0.5000 0.3309 1
```


A plane-wave DFT calculation with PBE was carried out for a geometry-optimized HgSbPbCl6 structure.

Geometry as CIF:
```
data_HgSbPbCl6
_chemical_formula_sum 'Hg1 Sb1 Pb1 Cl6'
_cell_length_a 7.1568
_cell_length_b 7.1568
_cell_length_c 6.5755
_cell_angle_alpha 90.00
_cell_angle_beta 90.00
_cell_angle_gamma 120.00
_space_group_name_H-M_alt 'P 3 1 2'
_space_group_IT_number 149
loop_
_space_group_symop_operation_xyz
'x,y,z'
'-y,x-y,z'
'-x+y,-x,z'
'-y,-x,-z'
'-x+y,y,-z'
'x,x-y,-z'
loop_
_atom_site_label
_atom_site_fract_x
_atom_site_fract_y
_atom_site_fract_z
_atom_site_occupancy
Hg1 0.0000 0.0000 0.0000 1
Sb1 0.6667 0.3333 0.5000 1
Pb1 0.3333 0.6667 0.5000 1
Cl1 0.3621 0.0272 0.7358 1
```


| no. | raw total energy (eV per atom) | spin magnetization (μB/cell) |
| --- | --- | --- |
| 1 | -2.936 | 0.00 |
| 2 | -2.538 | 0.00 |
| 3 | -3.018 | 0.00 |
| 4 | -3.628 | 0.00 |
| 5 | -3.457 | 0.00 |
| 6 | -2.919 | 0.00 |